MgZnAgIr | PBE | relaxed

Geometry as POSCAR:
```
MgZnAgIr
1.0
-3.998 -1.514 -1.249
-0.385 -4.063 -1.784
-1.964 -3.266 2.304
Zn Ag Mg Ir
1 1 1 1
Cartesian
-1.587 -2.211 -0.182 Zn
-3.174 -4.421 -0.364 Ag
-4.761 -6.632 -0.547 Mg
0.000 0.000 0.000 Ir
```

Output
Calculated total energy, eV/f.u.: -15.313

***

Mg3Zn3AgIr2 | PBE | relaxed

Geometry as POSCAR:
```
Mg3Zn3AgIr2
1.0
2.957 0.000 0.000
0.000 7.546 0.000
0.000 -3.773 6.535
Zn Ag Ir Mg
3 1 2 3
Cartesian
0.000 2.317 4.014 Zn
0.000 -1.456 2.521 Zn
0.000 2.911 0.000 Zn
0.000 0.000 0.000 Ag
1.479 3.773 2.178 Ir
1.479 0.000 4.357 Ir
1.479 -2.635 4.564 Mg
1.479 5.270 0.000 Mg
1.479 1.138 1.971 Mg
```

Output
Calculated total energy, eV/f.u.: -30.559

***

MgZrAgIr | PBE | relaxed

Geometry as POSCAR:
```
MgZrAgIr
1.0
4.660 0.000 0.000
2.330 4.036 0.000
2.330 1.345 3.805
Ag Mg Ir Zr
1 1 1 1
Cartesian
2.330 1.345 0.951 Ag
0.000 0.000 0.000 Mg
6.990 4.036 2.854 Ir
4.660 2.691 1.902 Zr
```

Output
Calculated total energy, eV/f.u.: -23.478

***

MnAgIr2 | PBE | relaxed

Geometry as POSCAR:
```
MnAgIr2
1.0
-3.384 1.587 -2.914
-2.280 -3.733 -1.825
1.041 1.134 4.483
Ir Ag Mn
2 1 1
Cartesian
0.000 0.000 0.000 Ir
-2.832 -1.073 -2.370 Ir
-2.588 0.824 -0.401 Ag
-2.035 -1.836 0.144 Mn
```

Output
Excess energy over the best structure of this formula in the dataset, meV per atom: 146.3

***

MnAgIr2 | PBE | relaxed

Geometry as POSCAR:
```
MnAgIr2
1.0
-2.255 3.539 2.198
1.283 -3.220 3.229
2.453 1.339 0.360
Ag Mn Ir
1 1 2
Cartesian
1.868 -0.940 1.794 Ag
0.099 2.439 1.279 Mn
-0.486 0.160 2.713 Ir
0.000 0.000 0.000 Ir
```

Output
Excess energy over the best structure of this formula in the dataset, meV per atom: 204.7

***

MnAgIr2 | PBE | relaxed

Geometry as POSCAR:
```
MnAgIr2
1.0
4.780 0.000 0.010
3.947 2.697 0.010
0.876 0.271 4.722
Mn Ag Ir
1 1 2
Cartesian
4.867 1.504 2.385 Mn
7.201 2.226 3.471 Ag
8.690 2.686 0.200 Ir
2.372 0.733 1.077 Ir
```

Output
Excess energy over the best structure of this formula in the dataset, meV per atom: 112.4

***

MnAgIr2 | PBE | relaxed

Geometry as POSCAR:
```
MnAgIr2
1.0
3.906 0.000 0.000
0.000 3.905 0.000
0.000 0.000 3.905
Ir Mn Ag
2 1 1
Cartesian
0.000 0.000 0.000 Ir
0.000 1.952 1.952 Ir
1.953 1.952 0.000 Mn
1.953 0.000 1.952 Ag
```

Output
Excess energy over the best structure of this formula in the dataset, meV per atom: 146.4

***

Mn2AgIr | PBE | relaxed

Geometry as POSCAR:
```
Mn2AgIr
1.0
4.915 -0.026 -0.104
4.105 2.704 -0.104
1.046 0.311 4.519
Mn Ir Ag
2 1 1
Cartesian
8.998 2.672 -0.007 Mn
7.516 2.232 3.104 Mn
2.525 0.750 0.860 Ir
5.079 1.508 2.303 Ag
```

Output
Calculated total energy, eV/f.u.: -29.266

***

Mn2AgIr | PBE | relaxed

Geometry as POSCAR:
```
Mn2AgIr
1.0
4.587 -0.067 0.032
3.737 2.660 0.032
0.842 0.262 4.964
Mn Ag Ir
2 1 1
Cartesian
4.622 1.440 2.422 Mn
8.285 2.582 0.156 Mn
6.874 2.142 3.771 Ag
2.291 0.714 1.257 Ir
```

Output
Calculated total energy, eV/f.u.: -28.907

***

Mn2AgIr | PBE | relaxed

Geometry as POSCAR:
```
Mn2AgIr
1.0
6.827 0.000 0.000
0.000 6.827 0.000
3.413 3.413 2.634
Mn Ag Ir
4 2 2
Cartesian
1.395 5.120 0.659 Mn
5.120 4.808 1.976 Mn
8.533 8.845 1.976 Mn
5.432 1.707 0.659 Mn
3.413 3.413 0.000 Ag
3.413 6.827 1.317 Ag
6.827 3.413 1.317 Ir
0.000 0.000 0.000 Ir
```

Output
Calculated total energy, eV/f.u.: -26.542

***

Mn2AgIr | PBE | relaxed

Geometry as POSCAR:
```
Mn2AgIr
1.0
4.433 0.000 0.000
2.217 3.839 0.000
2.217 1.280 3.620
Ir Mn Ag
1 2 1
Cartesian
2.217 1.280 0.905 Ir
6.650 3.839 2.715 Mn
0.000 0.000 0.000 Mn
4.433 2.560 1.810 Ag
```

Output
Calculated total energy, eV/f.u.: -28.543

***

MnAgIr2 | PBE | relaxed

Geometry as POSCAR:
```
MnAgIr2
1.0
4.434 0.000 0.000
2.217 3.840 0.000
2.217 1.280 3.620
Ag Ir Mn
1 2 1
Cartesian
4.434 2.560 1.810 Ag
6.651 3.840 2.715 Ir
0.000 0.000 0.000 Ir
2.217 1.280 0.905 Mn
```

Output
Excess energy over the best structure of this formula in the dataset, meV per atom: 299.8

***

MnAgIr2 | PBE | relaxed

Geometry as POSCAR:
```
MnAgIr2
1.0
-0.633 2.143 -4.923
-4.939 1.286 -1.783
4.012 0.681 3.558
Ag Ir Mn
1 2 1
Cartesian
-1.856 1.841 -0.788 Ag
-5.435 3.345 -6.541 Ir
-2.923 1.799 -3.517 Ir
0.297 2.269 -2.358 Mn
```

Output
Excess energy over the best structure of this formula in the dataset, meV per atom: 67.5

***

MnAgIr2 | PBE | relaxed

Geometry as POSCAR:
```
MnAgIr2
1.0
2.850 0.000 0.000
0.000 4.680 0.000
0.000 0.000 4.619
Mn Ag Ir
1 1 2
Cartesian
1.425 0.000 2.309 Mn
0.000 2.340 2.309 Ag
0.000 0.000 0.000 Ir
1.425 2.340 0.000 Ir
```

Output
Excess energy over the best structure of this formula in the dataset, meV per atom: 205.8

***

MnAgIr3 | PBE | relaxed

Geometry as POSCAR:
```
MnAgIr3
1.0
-2.666 -1.419 -3.300
-2.908 -1.559 3.021
-2.108 3.945 0.007
Ir Mn Ag
3 1 1
Cartesian
-1.333 -0.710 -1.650 Ir
-1.454 -0.779 1.510 Ir
-1.054 1.973 0.003 Ir
0.000 0.000 0.000 Mn
-3.841 0.484 -0.136 Ag
```

Output
Excess energy over the best structure of this formula in the dataset, meV per atom: 0.0

***

Mn2AgIr | PBE | relaxed

Geometry as POSCAR:
```
Mn2AgIr
1.0
2.717 -0.031 0.000
-1.185 2.445 0.000
0.000 0.000 9.065
Ir Ag Mn
1 1 2
Cartesian
0.766 1.207 7.009 Ir
0.000 0.000 4.483 Ag
0.000 0.000 0.000 Mn
0.766 1.207 2.106 Mn
```

Output
Calculated total energy, eV/f.u.: -28.700

***

MnAgIr2 | PBE | relaxed

Geometry as POSCAR:
```
MnAgIr2
1.0
-2.863 -3.177 0.209
1.167 -0.897 2.343
-2.528 2.538 3.938
Mn Ir Ag
1 2 1
Cartesian
-1.772 -1.178 1.675 Mn
0.074 -0.045 0.323 Ir
-0.755 0.866 2.818 Ir
-2.453 -0.358 4.816 Ag
```

Output
Excess energy over the best structure of this formula in the dataset, meV per atom: 128.5

***

MnAgIr2 | PBE | relaxed

Geometry as POSCAR:
```
MnAgIr2
1.0
2.743 0.000 0.000
-1.324 2.402 0.000
0.000 0.000 9.336
Ag Ir Mn
1 2 1
Cartesian
0.709 1.201 6.932 Ag
0.000 0.000 0.101 Ir
0.709 1.201 2.425 Ir
0.000 0.000 4.546 Mn
```

Output
Excess energy over the best structure of this formula in the dataset, meV per atom: 241.5

***

MnAgIr2 | PBE | relaxed

Geometry as POSCAR:
```
MnAgIr2
1.0
-2.496 -0.278 1.101
0.295 -0.668 -2.643
2.012 -8.586 2.395
Ag Ir Mn
1 2 1
Cartesian
0.408 -6.912 1.025 Ag
0.049 -0.209 0.058 Ir
0.957 -4.084 1.139 Ir
-0.598 -2.619 -0.173 Mn
```

Output
Excess energy over the best structure of this formula in the dataset, meV per atom: 78.5

***

Mn2AgIr | PBE | relaxed

Geometry as POSCAR:
```
Mn2AgIr
1.0
-3.109 -2.481 -2.947
1.375 -4.683 -0.826
-0.552 2.783 4.057
Ir Mn Ag
1 2 1
Cartesian
-2.264 -1.641 -0.388 Ir
0.000 0.000 0.000 Mn
-0.022 -2.741 0.672 Mn
-0.867 -3.582 -1.887 Ag
```

Output
Calculated total energy, eV/f.u.: -29.059

***

| no. | D(E_F) (states/eV per atom) |
| --- | --- |
| 1 | 0.49 |
| 2 | 0.57 |
| 3 | 0.64 |
| 4 | 0.82 |
| 5 | 1.18 |
| 6 | 0.91 |
| 7 | 1.04 |
| 8 | 0.81 |
| 9 | 0.94 |
| 10 | 1.12 |
| 11 | 1.32 |
| 12 | 1.49 |
| 13 | 0.75 |
| 14 | 1.14 |
| 15 | 0.88 |
| 16 | 1.10 |
| 17 | 0.88 |
| 18 | 1.17 |
| 19 | 1.04 |
| 20 | 0.96 |